No. 1
DFT (PBE-GGA) results for an optimized crystal structure of LiCu3Pt.

Cell and atoms, written as POSCAR:
```
LiCu3Pt
1.0
-3.9011 2.4176 -4.9677
1.4766 -5.2675 -3.7231
-4.6389 -2.8834 2.2396
Li Cu Pt
4 12 4
Cartesian
-5.3778 -4.6086 -5.4021
-1.3510 -3.5082 -3.4248
-5.7123 -2.2251 -3.0264
-1.6856 -1.1246 -1.0491
-3.3924 -2.8553 -6.8126
-3.1299 -0.8418 -3.6766
-3.9335 -4.8915 -2.7746
-3.6710 -2.8779 0.3613
-3.6837 -3.1023 -4.4260
-1.7113 -1.8763 -5.3782
-5.3514 0.1074 -3.7480
-3.3791 1.3334 -4.7002
-1.7119 -5.8407 -2.7032
-3.6843 -7.0667 -1.7510
-5.3520 -3.8569 -1.0730
-3.3797 -2.6310 -2.0252
-1.9506 1.2088 -2.4839
-4.2700 -0.2329 -1.3641
0.7383 -2.6338 -1.8616
-1.5811 -4.0754 -0.7417
```

Output
E above lowest polymorph (kJ/mol of atoms): 8.77
Symmetry: Pnma (62)
Energy of formation (eV/atom): -0.084
Fermi-level density of states (states/eV/atom): 0.2381
Calculated total energy (eV/atom): -4.132

=====

No. 2
DFT (PBE-GGA) results for an optimized crystal structure of LiCuPt2.

Cell and atoms, written as POSCAR:
```
LiCuPt2
1.0
-3.4333 1.4687 2.8761
-4.0875 0.2931 -2.3287
3.2098 -3.4315 0.3716
Cu Li Pt
1 1 2
Cartesian
-3.7604 0.8809 0.2737
-1.9919 -0.5409 1.7607
0.0000 0.0000 0.0000
-2.3190 -1.1287 -0.8417
```

Output
E above lowest polymorph (kJ/mol of atoms): 11.41
Symmetry: I-4m2 (119)
Energy of formation (eV/atom): -0.288
Fermi-level density of states (states/eV/atom): 0.9014
Calculated total energy (eV/atom): -4.811

=====

No. 3
DFT (PBE-GGA) results for an optimized crystal structure of LiCuPt.

Cell and atoms, written as POSCAR:
```
LiCuPt
1.0
-1.2517 1.8776 4.1080
3.5141 -5.8660 3.7518
4.1303 1.7260 -1.1700
Li Cu Pt
4 4 4
Cartesian
2.0178 0.8361 2.0867
4.3749 -3.0984 4.6032
1.7097 -2.9598 4.5476
0.5527 -1.0285 3.3123
2.9384 -4.9049 3.1372
0.5757 -0.9610 0.6147
3.2465 -1.1089 0.6763
4.3979 -3.0310 1.9056
1.7570 -2.9330 1.8759
2.0652 0.8630 -0.5850
3.1964 -1.1312 3.3449
-0.6258 0.9388 2.0540
```

Output
E above lowest polymorph (kJ/mol of atoms): 0.00
Symmetry: C2/m (12)
Energy of formation (eV/atom): -0.373
Fermi-level density of states (states/eV/atom): 0.3752
Calculated total energy (eV/atom): -4.390

=====

No. 4
DFT (PBE-GGA) results for an optimized crystal structure of Li2Cu3Pt2.

Cell and atoms, written as POSCAR:
```
Li2Cu3Pt2
1.0
4.6330 0.7765 -0.8340
0.9076 4.1500 -0.1188
0.3847 0.2471 4.9464
Li Cu Pt
2 3 2
Cartesian
3.3077 3.4666 0.2462
2.6177 1.7070 3.7473
0.0000 0.0000 0.0000
3.6552 1.2576 1.5023
2.2702 3.9159 2.4912
4.7506 3.2404 2.8333
1.1748 1.9332 1.1602
```

Output
Symmetry: P-1 (2)
Energy of formation (eV/atom): -0.266
Fermi-level density of states (states/eV/atom): 0.3010
Calculated total energy (eV/atom): -4.294

=====

No. 5
DFT (PBE-GGA) results for an optimized crystal structure of LiCuPt2.

Cell and atoms, written as POSCAR:
```
LiCuPt2
1.0
4.5758 -0.0091 0.0080
3.7503 2.6217 0.0080
0.7933 0.2489 4.6783
Cu Pt Li
1 2 1
Cartesian
6.8395 2.1461 3.5207
0.8164 0.2562 4.6779
4.5366 1.4235 2.3475
2.2798 0.7154 1.1736
```

Output
E above lowest polymorph (kJ/mol of atoms): 1.61
Symmetry: C2/m (12)
Energy of formation (eV/atom): -0.389
Fermi-level density of states (states/eV/atom): 0.6965
Calculated total energy (eV/atom): -4.912

=====

No. 6
DFT (PBE-GGA) results for an optimized crystal structure of LiPuCuPt.

Cell and atoms, written as POSCAR:
```
LiPuCuPt
1.0
4.7166 0.0000 0.0000
2.3583 4.0847 0.0000
2.3583 1.3616 3.8511
Li Cu Pt Pu
1 1 1 1
Cartesian
4.7166 2.7231 1.9255
2.3583 1.3616 0.9628
7.0748 4.0847 2.8883
0.0000 0.0000 0.0000
```

Output
Symmetry: F-43m (216)
Energy of formation (eV/atom): -0.256
Fermi-level density of states (states/eV/atom): 2.8761
Calculated total energy (eV/atom): -6.852

=====

No. 7
DFT (PBE-GGA) results for an optimized crystal structure of LiCuPtRh.

Cell and atoms, written as POSCAR:
```
LiCuPtRh
1.0
4.2132 0.0000 0.0000
2.1066 3.6488 0.0000
2.1066 1.2163 3.4401
Rh Cu Pt Li
1 1 1 1
Cartesian
0.0000 0.0000 0.0000
2.1066 1.2163 0.8600
4.2132 2.4325 1.7200
6.3198 3.6488 2.5801
```

Output
E above lowest polymorph (kJ/mol of atoms): 0.00
Symmetry: F-43m (216)
Energy of formation (eV/atom): -0.129
Fermi-level density of states (states/eV/atom): 1.5654
Calculated total energy (eV/atom): -4.979

=====

No. 8
DFT (PBE-GGA) results for an optimized crystal structure of LiCuPtS2.

Cell and atoms, written as POSCAR:
```
LiCuPtS2
1.0
-2.7941 3.0333 -1.6761
-2.1061 -3.0091 -1.9347
-2.6286 -0.4518 3.5642
S Cu Pt Li
2 1 1 1
Cartesian
-1.3143 -0.2259 1.7821
-1.3970 1.5167 -0.8381
0.0000 0.0000 0.0000
-3.7644 -0.2138 -0.0233
-1.0531 -1.5045 -0.9673
```

Output
E_form (uncorrected) (meV/atom): 393
Symmetry: P4/mmm (123)
Fermi-level density of states (states/eV/atom): 0.5751
Calculated total energy (eV/atom): -3.668